1.
Here is crystalline PuS2F4 at its relaxed geometry from the Alexandria database. Energies are from GGA-PBE.

a = 3.792 Å, b = 3.886 Å, c = 9.364 Å
α = 81.18°, β = 80.28°, γ = 89.89°
Atoms (fractional coordinates):
Pu 0.000 0.000 0.000
S 0.194 0.107 0.534
S 0.806 0.893 0.466
F 0.060 0.552 0.865
F 0.441 0.945 0.138
F 0.559 0.055 0.862
F 0.940 0.448 0.135

- Formation energy (no corrections): -2323 meV per atom
- Symmetry: P-1, No. 2
- Magnetization: 0.5768 μB/atom

2.
Here is crystalline Pu2SF at its relaxed geometry from the Alexandria database. Energies are from GGA-PBE.

a = 6.670 Å, b = 6.670 Å, c = 6.670 Å
α = 33.37°, β = 33.37°, γ = 33.37°
Atoms (fractional coordinates):
Pu 0.246 0.246 0.246
Pu 0.754 0.754 0.754
S 0.000 0.000 0.000
F 0.500 0.500 0.500

- Polymorph energy (0 for the lowest one): 0.00 kJ per mole of atoms
- Formation energy (no corrections): -1806 meV per atom
- Symmetry: R-3m, No. 166
- Magnetization: 3.0053 μB/atom